Compound: BaSc2H
Source: Alexandria
Functional: GGA-PBE
Structure: relaxed

a = 9.4777 Å, b = 9.4777 Å, c = 9.4777 Å
α = 20.68°, β = 20.68°, γ = 20.68°
Last column: nearest neighbours and their distance in Å.
Fractional coordinates of all 4 atoms:
Ba 0.0000 0.0000 0.0000  6 Ba 3.40, 2 Sc 3.46
Sc 0.1242 0.1242 0.1242  3 H 2.29
Sc 0.8758 0.8758 0.8758  3 H 2.29
H 0.5000 0.5000 0.5000  6 Sc 2.29

Total DFT energy (no corrections) ... -4.3940 eV per atom
Calculated volume ... 23.234 A^3/atom
Excess energy over the best structure of this formula in the dataset ... 61.4 meV/atom
SG ... R-3m